[1]
SrCoRu after structural relaxation, computed with GGA-PBE.

Lattice parameters (Å, degrees): 6.4849 6.4849 6.4849 90.00 90.00 90.00
With the nearest neighbours (Å) after each atom.
Space group F-43m (No. 216)
Unique sites:
Sr1 0.0000 0.0000 0.0000 [4 per cell]  4 Co 2.81, 4 Ru 2.81
Co1 0.2500 0.2500 0.2500 [4 per cell]  4 Sr 2.81
Ru1 0.2500 0.2500 0.7500 [4 per cell]  4 Sr 2.81

Values from the calculation:
Density in g cm⁻³: 6.031
ΔH_f (0 K) in meV/atom: 1775
Uncorrected energy in eV per atom: -4.2467
Relative energy among the computed polymorphs in meV per atom: 1538

[2]
YZrCl after structural relaxation, computed with GGA-PBE.

Lattice parameters (Å, degrees): 3.5350 3.5352 15.2924 90.61 95.90 119.99
With the nearest neighbours (Å) after each atom.
Space group P1 (No. 1)
Unique sites:
Y1 0.0000 0.0000 0.0000 [1 per cell]  3 Cl 2.74
Y2 0.0159 0.4833 0.4897 [1 per cell]  3 Cl 2.74
Zr1 0.2236 0.6035 0.8240 [1 per cell]  9 Zr 3.17-3.54, 3 Y 3.36
Zr2 0.4581 0.2122 0.6642 [1 per cell]  9 Zr 3.17-3.54, 3 Y 3.34
Cl1 0.6073 0.7736 0.3689 [1 per cell]  3 Y 2.74
Cl2 0.7421 0.3765 0.1208 [1 per cell]  3 Y 2.74

Values from the calculation:
Density in g cm⁻³: 4.360
Uncorrected energy in eV per atom: -6.5061
Relative energy among the computed polymorphs in meV per atom: 0
E_form (uncorrected) in eV per atom: -0.89

[3]
BaCa2SbCl after structural relaxation, computed with GGA-PBE.

Lattice parameters (Å, degrees): 7.2513 7.2513 5.9484 90.00 90.00 90.00
With the nearest neighbours (Å) after each atom.
Space group P4/mmm (No. 123)
Unique sites:
Ba1 0.0000 0.0000 0.0000 [1 per cell]  2 Sb 2.97
Ca1 0.0000 0.5000 0.0000 [2 per cell]  2 Ba 3.63
Sb1 0.0000 0.0000 0.5000 [1 per cell]  2 Ba 2.97
Cl1 0.5000 0.5000 0.5000 [1 per cell]  8 Ca 4.69, 4 Sb 5.13

Values from the calculation:
Density in g cm⁻³: 1.989
Uncorrected energy in eV per atom: -2.0052
E_form (uncorrected) in eV per atom: 0.37

[4]
YCuOs2 after structural relaxation, computed with GGA-PBE.

Lattice parameters (Å, degrees): 2.9119 4.5742 9.8146 90.00 90.00 90.00
With the nearest neighbours (Å) after each atom.
Space group Immm (No. 71)
Unique sites:
Y1 0.0000 0.0000 0.0000 [2 per cell]  4 Cu 2.71, 2 Y 2.91
Cu1 0.0000 0.0000 0.5000 [2 per cell]  4 Os 2.60, 4 Y 2.71, 2 Cu 2.91
Os1 0.0000 0.5000 0.2196 [4 per cell]  2 Cu 2.60, 6 Os 2.78-2.91

Values from the calculation:
Density in g cm⁻³: 13.538
ΔH_f (0 K) in meV/atom: 332
Uncorrected energy in eV per atom: -7.9231
Relative energy among the computed polymorphs in meV per atom: 157

[5]
Th2Cd5Ag after structural relaxation, computed with GGA-PBE.

Lattice parameters (Å, degrees): 4.5631 17.6446 10.0317 90.00 90.00 90.00
With the nearest neighbours (Å) after each atom.
Space group Cmcm (No. 63)
Unique sites:
Th1 0.0000 0.0000 0.0000 [4 per cell]  6 Cd 3.36-3.63, 4 Ag 3.49
Th2 0.0000 0.1885 0.2500 [4 per cell]  11 Cd 3.31-3.62, 2 Ag 3.38
Cd1 0.0000 0.1968 0.6039 [8 per cell]  6 Cd 2.83-3.15
Cd2 0.0000 0.3607 0.5277 [8 per cell]  1 Ag 2.76, 4 Cd 2.83-2.99
Cd3 0.0000 0.3937 0.2500 [4 per cell]  1 Ag 2.71, 2 Cd 2.85
Ag1 0.0000 0.4526 0.7500 [4 per cell]  3 Cd 2.71-2.76

Values from the calculation:
Density in g cm⁻³: 9.326
ΔH_f (0 K) in meV/atom: -63
Uncorrected energy in eV per atom: -2.8461

[6]
AlReRu2 after structural relaxation, computed with GGA-PBE.

Lattice parameters (Å, degrees): 2.7740 2.7740 25.7576 90.00 90.00 120.00
With the nearest neighbours (Å) after each atom.
Space group R-3m (No. 166, hexagonal axes)
Unique sites:
Al1 0.0000 0.0000 0.0000 [3 per cell]  6 Ru 2.66, 6 Al 2.77
Re1 0.0000 0.0000 0.5000 [3 per cell]  6 Ru 2.69, 6 Re 2.77
Ru1 0.0000 0.0000 0.2507 [6 per cell]  3 Al 2.66, 3 Re 2.69, 6 Ru 2.77

Values from the calculation:
Density in g cm⁻³: 12.054
ΔH_f (0 K) in meV/atom: -145
Uncorrected energy in eV per atom: -8.8305

[7]
TbNdAgPt after structural relaxation, computed with GGA-PBE.

Lattice parameters (Å, degrees): 7.2423 7.2423 7.2423 90.00 90.00 90.00
With the nearest neighbours (Å) after each atom.
Space group F-43m (No. 216)
Unique sites:
Tb1 0.0000 0.0000 0.0000 [4 per cell]  4 Pt 3.14, 4 Ag 3.14
Nd1 0.0000 0.0000 0.5000 [4 per cell]  4 Ag 3.14, 4 Pt 3.14
Ag1 0.2500 0.2500 0.2500 [4 per cell]  4 Tb 3.14, 4 Nd 3.14
Pt1 0.2500 0.2500 0.7500 [4 per cell]  4 Tb 3.14, 4 Nd 3.14

Values from the calculation:
Density in g cm⁻³: 10.598
ΔH_f (0 K) in meV/atom: -709
Uncorrected energy in eV per atom: -5.2817
Relative energy among the computed polymorphs in meV per atom: 19

[8]
Tm3B2SbRh9 after structural relaxation, computed with GGA-PBE.

Lattice parameters (Å, degrees): 5.8362 5.8362 8.8013 90.00 90.00 120.00
With the nearest neighbours (Å) after each atom.
Space group P-3m1 (No. 164)
Unique sites:
Tm1 0.0000 0.0000 0.0000 [1 per cell]  12 Rh 2.86-2.92
Tm2 0.3333 0.6667 0.7118 [2 per cell]  9 Rh 2.92-3.05
B1 0.3333 0.6667 0.1462 [2 per cell]  6 Rh 2.04-2.12
Sb1 0.0000 0.0000 0.5000 [1 per cell]  6 Rh 2.62
Rh1 0.0000 0.5000 0.0000 [3 per cell]  2 B 2.12
Rh2 0.1612 0.3223 0.2669 [6 per cell]  1 B 2.04

Values from the calculation:
Density in g cm⁻³: 10.082
Uncorrected energy in eV per atom: -7.1129
E_form (uncorrected) in eV per atom: -0.64

Number 6 is which compound?
AlReRu2